[1]
4
Lattice="-2.246 0.180 -2.320 -2.287 -1.441 2.102 -5.158 8.231 5.632" Properties=species:S:1:pos:R:3 comment="K2MoRh (GGA-PBE, relaxed)" formation_enthalpy_0k_ev_per_atom=0.620 pbc="T T T"
K -4.918 7.419 5.337
K -3.202 2.517 1.041
Mo -3.958 4.189 4.156
Rh -6.494 4.470 4.379



[2]
51
Lattice="8.211 -0.024 0.001 1.902 8.541 -0.011 2.982 3.277 8.793" Properties=species:S:1:pos:R:3 comment="Sr3Rh16O32 (GGA-PBE, relaxed)" e_form_raw_ev_per_atom=-1.038 pbc="T T T"
Sr 8.002 0.303 0.053
Sr 7.796 6.795 2.853
Sr 5.296 4.947 5.941
Rh 8.905 2.668 2.183
Rh 9.466 3.709 5.468
Rh 3.512 0.839 1.135
Rh 7.639 4.518 0.043
Rh 5.850 3.215 2.249
Rh 4.066 1.888 4.440
Rh 8.282 5.424 7.742
Rh 10.066 6.727 5.557
Rh 3.028 5.050 3.248
Rh 4.789 6.353 1.049
Rh 5.444 7.256 8.752
Rh 9.022 9.879 4.358
Rh 7.233 8.555 6.547
Rh 9.572 10.933 7.660
Rh 3.623 8.064 3.333
Rh 4.191 9.122 6.630
O 8.753 2.464 4.156
O 7.152 1.583 2.302
O 5.356 0.505 0.225
O 10.126 5.082 6.841
O 7.649 4.020 6.400
O 9.430 5.339 4.201
O 5.826 2.961 4.301
O 7.617 4.291 2.097
O 4.224 2.087 2.459
O 6.005 3.397 0.272
O 1.611 0.931 1.871
O 12.380 8.849 8.674
O 10.768 7.982 6.864
O 6.365 5.501 8.431
O 9.921 8.110 4.060
O 8.164 6.812 6.265
O 3.169 3.656 4.747
O 6.719 6.269 0.362
O 4.926 4.960 2.531
O 2.321 3.806 1.935
O 0.696 2.890 0.124
O 11.487 10.852 6.938
O 8.858 9.687 6.336
O 7.064 8.383 8.522
O 5.467 7.482 6.701
O 7.265 8.805 4.492
O 3.664 6.437 4.604
O 5.438 7.751 2.394
O 2.981 6.686 1.985
O 7.757 11.266 8.585
O 5.949 10.169 6.468
O 4.333 9.313 4.651



[3]
7
Lattice="3.063 0.000 0.000 0.000 7.264 -0.554 -1.531 -2.823 7.103" Properties=species:S:1:pos:R:3 comment="Hf2Ti2In3 (GGA-PBE, relaxed)" formation_enthalpy_0k_ev_per_atom=0.009 pbc="T T T"
Hf 1.531 6.212 0.487
Hf 0.000 -1.771 6.062
Ti 1.531 3.070 4.892
Ti 0.000 1.371 1.658
In 0.000 3.632 -0.277
In 0.000 4.287 2.660
In 1.531 0.154 3.890



[4]
18
Lattice="-0.772 -6.059 4.012 5.917 4.207 0.837 -2.192 2.436 3.257" Properties=species:S:1:pos:R:3 comment="Li5Be4 (GGA-PBE, relaxed)" formation_enthalpy_0k_ev_per_atom=0.243 pbc="T T T"
Be 0.000 0.000 0.000
Be -1.096 1.218 1.628
Be 0.937 1.665 1.024
Be 3.305 -0.778 4.446
Be -0.742 -0.912 1.821
Be 2.787 4.978 3.069
Be -0.353 1.362 3.659
Be -2.223 -2.712 5.448
Li 3.190 3.267 1.343
Li 1.346 -0.073 2.599
Li -1.036 -3.219 3.349
Li 0.534 3.376 2.751
Li 1.606 0.656 5.506
Li -1.929 -0.404 3.920
Li 1.458 -2.637 2.954
Li 2.591 2.003 3.524
Li 3.687 0.785 1.895
Li 0.361 -1.419 4.582



[5]
10
Lattice="4.826 0.000 0.000 0.000 6.931 -0.001 0.000 0.001 6.437" Properties=species:S:1:pos:R:3 comment="HoInAg3 (GGA-PBE, relaxed)" formation_enthalpy_0k_ev_per_atom=-0.195 pbc="T T T"
Ho 2.296 2.673 4.511
Ho 4.709 6.704 1.292
In 4.708 5.045 4.511
In 2.292 4.331 1.292
Ag 2.297 1.627 1.292
Ag 2.296 6.444 5.864
Ag 4.709 2.933 2.646
Ag 4.710 0.818 4.510
Ag 4.709 2.932 6.375
Ag 2.296 6.444 3.157



[6]
28
Lattice="8.001 -0.373 -5.505 -4.323 6.743 -5.505 0.560 0.969 17.329" Properties=species:S:1:pos:R:3 comment="AcPm3Dy3 (GGA-PBE, relaxed)" formation_enthalpy_0k_ev_per_atom=0.165 pbc="T T T"
Ac -2.158 6.738 11.845
Ac 0.369 0.640 3.393
Ac 6.915 1.500 11.845
Ac 3.912 6.775 2.940
Pm -1.096 5.098 -1.058
Pm 3.947 3.176 -7.037
Pm 1.687 2.922 -1.018
Pm -0.119 7.258 4.434
Pm 3.356 2.173 4.665
Pm 0.777 5.006 -7.037
Pm 4.922 5.208 -0.850
Pm 0.203 3.993 4.665
Pm 4.963 1.600 -1.058
Pm 1.408 2.439 10.363
Pm 2.049 6.867 -0.850
Pm 6.345 3.527 4.434
Dy 0.875 5.207 1.662
Dy 2.957 1.428 -4.061
Dy 5.884 3.429 -3.600
Dy 2.215 0.448 7.179
Dy 2.841 4.921 -4.042
Dy 5.340 2.177 7.380
Dy -0.242 3.275 -4.061
Dy 0.028 6.810 -3.600
Dy 2.493 4.318 7.371
Dy -0.720 2.142 7.179
Dy -0.785 5.713 7.380
Dy 4.072 3.361 1.662



[7]
5
Lattice="-0.163 3.036 4.134 -4.969 -1.117 0.625 1.270 -3.983 2.975" Properties=species:S:1:pos:R:3 comment="MnGaBi3 (GGA-PBE, relaxed)" formation_enthalpy_0k_ev_per_atom=0.469 pbc="T T T"
Mn 0.000 0.000 0.000
Bi -2.485 -0.559 0.312
Bi 0.635 -1.992 1.488
Bi -0.081 1.518 2.067
Ga -1.931 -1.032 3.867



[8]
20
Lattice="4.297 4.797 -0.004 -4.297 4.797 -0.004 0.000 1.014 6.319" Properties=species:S:1:pos:R:3 comment="Ho2Fe17C (GGA-PBE, relaxed)" formation_enthalpy_0k_ev_per_atom=-0.044 pbc="T T T"
Ho 0.000 7.001 4.114
Ho 0.000 3.606 2.198
Fe -1.843 4.797 -0.004
Fe 3.044 3.696 1.846
Fe 3.044 6.911 4.466
Fe -3.044 6.911 4.466
Fe -3.044 3.696 1.846
Fe 1.843 4.797 -0.004
Fe 0.000 9.579 5.697
Fe 0.000 1.028 0.615
Fe 0.000 0.507 3.160
Fe -2.149 2.398 -0.002
Fe 2.149 2.398 -0.002
Fe 2.173 6.075 2.178
Fe 0.000 4.156 5.359
Fe -2.173 6.075 2.178
Fe -2.173 4.532 4.134
Fe 0.000 6.451 0.952
Fe 2.173 4.532 4.134
C 0.000 4.797 -0.004



[9]
15
Lattice="8.180 0.000 0.000 -4.090 7.084 -0.029 0.000 -4.689 7.960" Properties=species:S:1:pos:R:3 comment="K3HfU3Se8 (GGA-PBE, relaxed)" e_form_raw_ev_per_atom=-1.265 pbc="T T T"
K 0.000 0.000 0.000
K -2.045 3.542 -0.015
K 2.045 3.542 -0.015
Hf 0.000 -2.345 3.980
U 4.090 -2.344 3.980
U 2.045 1.197 3.965
U -2.045 1.197 3.965
Se 0.000 2.371 2.278
Se 4.090 0.024 5.653
Se 4.090 2.496 2.381
Se 0.000 -0.101 5.550
Se 6.242 -1.232 2.396
Se -2.152 3.627 5.535
Se 1.938 -1.233 2.396
Se 2.152 3.627 5.535



[10]
9
Lattice="3.844 -6.658 0.000 3.844 6.658 0.000 0.000 0.000 2.570" Properties=species:S:1:pos:R:3 comment="Zn2Tc (GGA-PBE, relaxed)" formation_enthalpy_0k_ev_per_atom=0.209 pbc="T T T"
Zn 1.175 2.035 0.000
Zn 2.443 4.231 1.285
Zn 1.175 -2.035 0.000
Zn 5.338 0.000 0.000
Zn 2.443 -4.231 1.285
Zn 2.803 0.000 1.285
Tc 0.000 0.000 1.285
Tc 3.844 2.219 0.000
Tc 3.844 -2.219 0.000



[11]
14
Lattice="-2.878 6.671 3.220 -1.361 -3.872 6.805 8.247 0.216 -2.874" Properties=species:S:1:pos:R:3 comment="AgTe4Au2 (GGA-PBE, relaxed)" e_form_raw_ev_per_atom=0.035 pbc="T T T"
Ag 2.385 -1.129 4.468
Ag -0.002 0.001 0.005
Te -0.431 5.341 2.952
Te -0.064 0.202 4.740
Te 2.687 3.602 4.756
Te 3.322 5.414 1.567
Te 0.920 2.218 1.444
Te 5.064 2.157 0.063
Te 4.430 0.346 3.251
Te -1.415 3.325 6.247
Au 3.876 2.880 2.409
Au -0.928 0.836 7.249
Au -0.248 2.772 3.846
Au 5.315 -0.456 0.799



[12]
3
Lattice="-4.325 2.020 -0.516 1.211 -2.046 4.171 1.366 3.228 1.187" Properties=species:S:1:pos:R:3 comment="BaZrRe (GGA-PBE, relaxed)" formation_enthalpy_0k_ev_per_atom=0.968 pbc="T T T"
Ba 0.025 0.058 0.021
Re -1.940 1.938 1.514
Zr 0.169 1.206 3.306



[13]
4
Lattice="3.783 0.000 0.000 1.892 3.276 0.000 1.892 1.092 10.141" Properties=species:S:1:pos:R:3 comment="KNa2H (GGA-PBE, relaxed)" final_energy_ev_per_atom=-1.71 pbc="T T T"
K 3.783 2.184 5.063
Na 1.892 1.092 8.704
Na 1.892 1.092 1.437
H 3.783 2.184 0.007



[14]
8
Lattice="7.865 -0.959 -1.051 -3.297 7.204 -1.051 0.929 1.271 7.598" Properties=species:S:1:pos:R:3 comment="YNpI6 (GGA-PBE, relaxed)" e_form_raw_ev_per_atom=-1.123 pbc="T T T"
Y 0.465 0.635 3.799
Np 0.000 0.000 0.000
I -0.685 7.254 0.657
I 7.121 1.546 0.657
I -1.624 5.970 4.838
I 6.182 0.262 4.838
I 2.078 2.842 5.158
I 3.419 4.674 0.337



[15]
20
Lattice="6.618 0.250 0.259 2.438 8.504 0.164 2.438 -0.152 8.505" Properties=species:S:1:pos:R:3 comment="CdCuGe2S6 (GGA-PBE, relaxed)" e_form_raw_ev_per_atom=-0.235 pbc="T T T"
Cd 4.092 6.895 1.839
Cd 7.402 1.708 7.088
Cu 4.092 1.776 6.772
Cu 7.402 6.827 2.155
Ge 5.264 6.700 5.540
Ge 2.921 3.190 1.897
Ge 6.230 1.902 3.388
Ge 8.573 5.413 7.031
S 5.240 8.278 7.118
S 2.945 1.672 0.262
S 6.254 0.325 1.810
S 8.549 6.931 8.665
S 5.813 7.645 3.559
S 2.372 5.204 1.026
S 5.681 0.958 5.368
S 9.122 3.399 7.901
S 3.229 5.827 5.021
S 4.956 3.676 2.788
S 8.265 2.775 3.907
S 6.538 4.926 6.139



[16]
16
Lattice="-0.026 7.034 1.734 -7.760 0.753 -3.170 -2.413 -1.938 7.826" Properties=species:S:1:pos:R:3 comment="Tb13Tm3 (GGA-PBE, relaxed)" formation_enthalpy_0k_ev_per_atom=0.011 pbc="T T T"
Tb -8.776 4.951 2.508
Tb -5.325 4.794 3.177
Tb -3.664 5.546 0.168
Tb -7.414 -1.001 3.953
Tb -2.314 -0.407 1.619
Tb -6.649 0.194 -0.886
Tb -8.763 1.425 1.639
Tb -5.312 1.276 2.311
Tb -3.651 2.020 -0.701
Tb -3.981 2.362 5.494
Tb -7.440 2.515 4.822
Tb -2.317 3.112 2.477
Tb -6.661 3.711 -0.018
Tm -2.659 3.456 8.662
Tm -3.965 -1.157 4.634
Tm -2.646 -0.068 7.793



[17]
8
Lattice="-1.582 -1.324 -6.935 -4.673 -5.131 2.046 -5.019 -1.467 -2.349" Properties=species:S:1:pos:R:3 comment="VCoAg2 (GGA-PBE, relaxed)" formation_enthalpy_0k_ev_per_atom=0.868 pbc="T T T"
Co 0.000 0.000 0.000
Co -4.864 -3.009 -5.865
Ag -2.866 -1.868 -4.836
Ag -4.335 -3.707 -0.006
Ag -5.996 -3.395 -3.646
Ag -9.352 -6.874 -5.990
V -3.128 -3.228 -2.445
V -6.410 -4.913 -1.374



[18]
6
Lattice="1.689 -2.925 0.000 1.689 2.925 0.000 0.000 0.000 9.643" Properties=species:S:1:pos:R:3 comment="AlP2 (GGA-PBE, relaxed)" formation_enthalpy_0k_ev_per_atom=0.072 pbc="T T T"
Al 0.000 0.000 2.411
Al 0.000 0.000 7.233
P 1.689 -0.975 4.113
P 1.689 0.975 8.934
P 1.689 0.975 5.531
P 1.689 -0.975 0.709



[19]
4
Lattice="-2.817 0.811 1.929 -2.376 -2.468 0.760 3.921 -3.121 10.230" Properties=species:S:1:pos:R:3 comment="Dy2ZrI (GGA-PBE, relaxed)" e_form_raw_ev_per_atom=0.152 pbc="T T T"
I -0.636 -2.389 6.459
Zr 0.000 0.000 0.000
Dy 2.368 -2.415 7.665
Dy -3.640 -2.363 5.253



[20]
6
Lattice="5.578 0.000 0.000 0.000 3.754 0.000 0.000 1.877 9.637" Properties=species:S:1:pos:R:3 comment="PrTmI (GGA-PBE, relaxed)" e_form_raw_ev_per_atom=-0.447 pbc="T T T"
Pr 1.395 1.877 7.148
Pr 4.184 3.754 2.489
Tm 1.395 1.877 0.610
Tm 4.184 3.754 9.027
I 4.184 3.754 5.930
I 1.395 1.877 3.707